# MnInO3, optimized geometry, DFT GGA+U
# - Total energy: -6.58 eV/atom
# - M_tot: 0.8000 μB/atom
data_MnInO3
_space_group_name_H-M_alt 'P 1'
_space_group_IT_number 1
_cell_length_a 3.467
_cell_length_b 3.459
_cell_length_c 11.808
_cell_angle_alpha 90.00
_cell_angle_beta 90.00
_cell_angle_gamma 120.00
loop_
_space_group_symop_operation_xyz
'x,y,z'
loop_
_atom_site_label
_atom_site_fract_x
_atom_site_fract_y
_atom_site_fract_z
Mn1 0.666 0.333 0.250
Mn2 0.334 0.667 0.750
O1 0.998 0.997 0.750
O2 0.002 0.003 0.250
O3 0.666 0.333 0.416
O4 0.666 0.333 0.084
O5 0.334 0.667 0.584
O6 0.334 0.667 0.916
In1 0.000 0.000 0.000
In2 0.000 0.000 0.500